Computed, not measured: Ca6SnP2 after structural relaxation at the PBE level of DFT.

a b c (Å): 5.435 7.635 8.760
angles (deg): 72.72 71.93 69.15
Positions (direct):
Ca1 0.743 0.642 0.873
Ca2 0.257 0.358 0.127
Ca3 0.965 0.863 0.207
Ca4 0.350 0.734 0.566
Ca5 0.035 0.137 0.793
Ca6 0.650 0.266 0.434
Sn1 0.000 0.500 0.500
P1 0.177 0.737 0.909
P2 0.823 0.263 0.091

Calculated values
DFT total energy   -33.569 eV/cell
Energy of formation from the pure elements   -6.74 eV/f.u.
Magnetization   0.77 μB per formula unit